Computed, not measured: ReAs2Au after structural relaxation at the GGA-PBE level of DFT.

Total moment = 0.000 μB per formula unit
Energy relative to the lowest polymorph listed for this composition = 536.6 meV per atom
Theoretical density = 12.899 g/cm³
Energy of formation = 0.720 eV per atom
Energy = -22.14 eV per cell

a b c (Å): 3.1542 4.3196 5.0363
angles (deg): 90.00 90.00 90.00
With the nearest neighbours (Å) after each atom.
Element x y z (fractional)
1 Re 0.0000 0.0000 0.0000  4 As 2.67, 4 Au 2.97
2 As 0.0000 0.5000 0.5000  4 Au 2.67, 4 As 2.97
3 As 0.5000 0.5000 0.0000  4 Re 2.67, 4 As 2.97
4 Au 0.5000 0.0000 0.5000  4 As 2.67, 4 Re 2.97